1:
{"formula": "Ga2HgRu2", "functional": "PBE", "state": "optimized geometry", "cell": [[7.198, 0.000, 0.000], [0.000, 7.198, 0.000], [0.000, 0.000, 3.076]], "species": ["Ga", "Ga", "Ga", "Ga", "Hg", "Hg", "Ru", "Ru", "Ru", "Ru"], "frac_coords": [[0.136, 0.364, 0.000], [0.364, 0.864, 0.000], [0.636, 0.136, 0.000], [0.864, 0.636, 0.000], [0.000, 0.000, 0.000], [0.500, 0.500, 0.000], [0.156, 0.656, 0.500], [0.344, 0.156, 0.500], [0.656, 0.844, 0.500], [0.844, 0.344, 0.500]], "rho_g_cm3": 11.30}



2:
{"formula": "Ga2HgRu2", "functional": "PBE", "state": "optimized geometry", "cell": [[7.127, 0.000, 0.000], [0.000, 7.127, 0.000], [0.000, 0.000, 3.171]], "species": ["Ga", "Ga", "Ga", "Ga", "Hg", "Hg", "Ru", "Ru", "Ru", "Ru"], "frac_coords": [[0.150, 0.350, 0.000], [0.350, 0.850, 0.000], [0.650, 0.150, 0.000], [0.850, 0.650, 0.000], [0.000, 0.000, 0.500], [0.500, 0.500, 0.500], [0.144, 0.644, 0.500], [0.356, 0.144, 0.500], [0.644, 0.856, 0.500], [0.856, 0.356, 0.500]], "rho_g_cm3": 11.18}



Relative energies with respect to the most stable structure, expressed in meV/atom: 1 82; 2 0.



1:
{"formula": "GaHgRu3", "functional": "PBE", "state": "optimized geometry", "cell": [[4.962, 0.000, 0.000], [0.000, 4.962, 0.000], [0.000, 0.000, 4.962]], "species": ["Ga", "Hg", "Ru", "Ru", "Ru"], "frac_coords": [[0.000, 0.000, 0.000], [0.500, 0.500, 0.500], [0.000, 0.500, 0.500], [0.500, 0.000, 0.500], [0.500, 0.500, 0.000]], "rho_g_cm3": 7.79}



2:
{"formula": "GaHgRu3", "functional": "PBE", "state": "optimized geometry", "cell": [[4.593, 0.000, 0.000], [0.000, 4.593, 0.000], [0.000, 0.000, 4.593]], "species": ["Ga", "Hg", "Ru", "Ru", "Ru"], "frac_coords": [[0.000, 0.000, 0.000], [0.500, 0.500, 0.500], [0.000, 0.000, 0.500], [0.000, 0.500, 0.000], [0.500, 0.000, 0.000]], "rho_g_cm3": 9.83}



Relative energies with respect to the most stable structure, expressed in meV/atom: 1 1006; 2 0.